Below is Ca19Ag8N7 after structural relaxation, with properties calculated at the PBE level.

Cell lengths 10.315, 10.315, 10.315 Å; angles 60.00, 60.00, 60.00 degrees
Atoms (fractional coordinates):
Ag  0.176  0.471  0.176
Ag  0.824  0.824  0.824
Ag  0.471  0.176  0.176
Ag  0.176  0.176  0.176
Ag  0.176  0.176  0.471
Ag  0.824  0.529  0.824
Ag  0.529  0.824  0.824
Ag  0.824  0.824  0.529
Ca  0.829  0.171  0.500
Ca  0.171  0.500  0.829
Ca  0.165  0.835  0.835
Ca  0.500  0.829  0.171
Ca  0.500  0.500  0.829
Ca  0.829  0.500  0.171
Ca  0.500  0.500  0.171
Ca  0.165  0.165  0.835
Ca  0.165  0.835  0.165
Ca  0.835  0.835  0.165
Ca  0.500  0.171  0.500
Ca  0.171  0.500  0.500
Ca  0.500  0.171  0.829
Ca  0.171  0.829  0.500
Ca  0.835  0.165  0.835
Ca  0.500  0.829  0.500
Ca  0.835  0.165  0.165
Ca  0.829  0.500  0.500
Ca  0.500  0.500  0.500
N  0.674  0.326  0.674
N  0.674  0.674  0.326
N  0.326  0.674  0.674
N  0.674  0.326  0.326
N  0.326  0.674  0.326
N  0.326  0.326  0.674
N  0.000  0.000  0.000

Results
Mass density   3.69 g cm⁻³
D(E_F)   17.49 states/eV per cell
Size of the total moment   0.00 μB/f.u.
Calculated total energy   -137.67 eV per formula unit

Below is RbLaCr2 after structural relaxation, with properties calculated at the PBE level.

Cell lengths 5.628, 5.628, 5.628 Å; angles 60.00, 60.00, 60.00 degrees
Each line ends with the local moment (μB).
Atoms (fractional coordinates):
La  0.500  0.500  0.500  -0.04
Cr  0.750  0.750  0.750  3.90
Cr  0.250  0.250  0.250  3.90
Rb  0.000  0.000  0.000  0.01

Results
Mass density   4.33 g cm⁻³
D(E_F)   4.97 states/eV per cell
Size of the total moment   8.81 μB/f.u.
Polymorph energy (0 for the lowest one)   0.00 eV per formula unit
ΔE_f   1189 meV per atom
Calculated total energy   -20.39 eV per formula unit

Below is SrTa2Tc after structural relaxation, with properties calculated at the PBE level.

Cell lengths 5.841, 5.841, 2.817 Å; angles 80.31, 80.31, 119.31 degrees
Atoms (fractional coordinates):
Ta  0.500  0.500  0.000
Ta  0.000  0.000  0.000
Tc  0.500  0.000  0.500
Sr  0.000  0.500  0.500

Results
Mass density   11.51 g cm⁻³
D(E_F)   5.69 states/eV per cell
Size of the total moment   0.00 μB/f.u.
Polymorph energy (0 for the lowest one)   1.78 eV per formula unit
ΔE_f   890 meV per atom
Calculated total energy   -32.19 eV per formula unit

Below is Dy4TmIn3 after structural relaxation, with properties calculated at the PBE level.

Cell lengths 3.509, 8.854, 8.877 Å; angles 119.91, 101.40, 90.00 degrees
Atoms (fractional coordinates):
In  0.184  0.184  0.367
In  0.000  0.500  0.000
In  0.816  0.816  0.633
Dy  0.639  0.838  0.277
Dy  0.361  0.560  0.722
Dy  0.361  0.162  0.723
Dy  0.639  0.440  0.278
Tm  0.500  0.000  0.000

Results
Mass density   8.30 g cm⁻³
D(E_F)   7.66 states/eV per cell
Size of the total moment   0.00 μB/f.u.
Polymorph energy (0 for the lowest one)   0.84 eV per formula unit
ΔE_f   -214 meV per atom
Calculated total energy   -32.81 eV per formula unit

Below is TmMg3Pt after structural relaxation, with properties calculated at the PBE level.

Cell lengths 5.382, 5.762, 7.816 Å; angles 90.00, 115.03, 90.00 degrees
Atoms (fractional coordinates):
Mg  0.329  0.699  0.074
Mg  0.131  0.948  0.377
Mg  0.706  0.199  0.487
Mg  0.706  0.696  0.487
Mg  0.903  0.448  0.183
Mg  0.329  0.196  0.074
Pt  0.873  0.448  0.819
Pt  0.161  0.948  0.741
Tm  0.302  0.448  0.682
Tm  0.733  0.948  0.878

Results
Mass density   6.61 g cm⁻³
D(E_F)   4.65 states/eV per cell
Size of the total moment   0.00 μB/f.u.
ΔE_f   -553 meV per atom
Calculated total energy   -18.06 eV per formula unit

Below is CsPtAu3 after structural relaxation, with properties calculated at the PBE level.

Cell lengths 5.773, 5.773, 5.773 Å; angles 90.00, 90.00, 90.00 degrees
Each line ends with the local moment (μB).
Atoms (fractional coordinates):
Au  0.500  0.000  0.000  0.02
Au  0.000  0.000  0.500  0.12
Au  0.000  0.500  0.000  0.07
Pt  0.500  0.500  0.500  0.66
Cs  0.000  0.000  0.000  0.01

Results
Mass density   7.93 g cm⁻³
D(E_F)   7.49 states/eV per cell
Size of the total moment   1.05 μB/f.u.
Polymorph energy (0 for the lowest one)   9.05 eV per formula unit
ΔE_f   1929 meV per atom
Calculated total energy   -7.08 eV per formula unit

Below is Ce2Al3Ga2 after structural relaxation, with properties calculated at the PBE level.

Cell lengths 4.619, 3.273, 10.081 Å; angles 90.00, 76.78, 90.00 degrees
Each line ends with the local moment (μB).
Atoms (fractional coordinates):
Al  0.000  0.000  0.000  0.00
Al  0.283  0.000  0.433  0.00
Al  0.717  0.000  0.567  0.00
Ga  0.576  0.000  0.848  0.00
Ga  0.424  0.000  0.152  0.00
Ce  0.143  0.500  0.714  0.27
Ce  0.857  0.500  0.286  0.27

Results
Mass density   5.60 g cm⁻³
D(E_F)   9.05 states/eV per cell
Size of the total moment   0.63 μB/f.u.
Polymorph energy (0 for the lowest one)   0.81 eV per formula unit
ΔE_f   -340 meV per atom
Calculated total energy   -31.53 eV per formula unit

Below is Pm5Th3S8 after structural relaxation, with properties calculated at the PBE level.

Cell lengths 8.032, 8.032, 8.106 Å; angles 60.30, 60.30, 60.00 degrees
Atoms (fractional coordinates):
S  0.749  0.250  0.751
S  0.250  0.250  0.751
S  0.750  0.750  0.249
S  0.750  0.251  0.249
S  0.251  0.750  0.249
S  0.250  0.749  0.751
S  0.251  0.251  0.247
S  0.749  0.749  0.753
Pm  0.500  0.500  0.500
Pm  0.500  0.500  0.000
Pm  0.500  0.000  0.000
Pm  0.000  0.000  0.000
Pm  0.000  0.500  0.000
Th  0.000  0.000  0.500
Th  0.500  0.000  0.500
Th  0.000  0.500  0.500

Results
Mass density   7.50 g cm⁻³
D(E_F)   6.63 states/eV per cell
Size of the total moment   0.00 μB/f.u.
Calculated total energy   -110.34 eV per formula unit

Below is LiSm2Co after structural relaxation, with properties calculated at the PBE level.

Cell lengths 4.969, 4.969, 4.969 Å; angles 60.00, 60.00, 60.00 degrees
Atoms (fractional coordinates):
Li  0.500  0.500  0.500
Co  0.000  0.000  0.000
Sm  0.250  0.250  0.250
Sm  0.750  0.750  0.750

Results
Mass density   7.02 g cm⁻³
D(E_F)   3.44 states/eV per cell
Size of the total moment   0.00 μB/f.u.
Polymorph energy (0 for the lowest one)   0.01 eV per formula unit
ΔE_f   3 meV per atom
Calculated total energy   -18.45 eV per formula unit

Below is BaNaCa2 after structural relaxation, with properties calculated at the PBE level.

Cell lengths 6.380, 6.380, 6.380 Å; angles 60.00, 60.00, 60.00 degrees
Atoms (fractional coordinates):
Na  0.000  0.000  0.000
Ca  0.250  0.250  0.250
Ca  0.750  0.750  0.750
Ba  0.500  0.500  0.500

Results
Mass density   2.17 g cm⁻³
D(E_F)   5.17 states/eV per cell
Size of the total moment   0.00 μB/f.u.
Polymorph energy (0 for the lowest one)   0.31 eV per formula unit
ΔE_f   112 meV per atom
Calculated total energy   -6.80 eV per formula unit

Below is GaCu3Au3 after structural relaxation, with properties calculated at the PBE level.

Cell lengths 4.592, 7.336, 7.336 Å; angles 120.00, 90.00, 90.00 degrees
Atoms (fractional coordinates):
Cu  0.750  0.486  0.111
Cu  0.250  0.375  0.486
Cu  0.750  0.889  0.375
Cu  0.250  0.514  0.889
Cu  0.250  0.111  0.625
Cu  0.750  0.625  0.514
Au  0.250  0.796  0.737
Au  0.750  0.059  0.796
Au  0.750  0.737  0.941
Au  0.250  0.941  0.204
Au  0.750  0.204  0.263
Au  0.250  0.263  0.059
Ga  0.750  0.333  0.667
Ga  0.250  0.667  0.333

Results
Mass density   13.21 g cm⁻³
D(E_F)   5.39 states/eV per cell
Size of the total moment   0.00 μB/f.u.
Polymorph energy (0 for the lowest one)   0.00 eV per formula unit
ΔE_f   -66 meV per atom
Calculated total energy   -25.61 eV per formula unit

Below is ZnFe2IrN after structural relaxation, with properties calculated at the PBE level.

Cell lengths 3.806, 3.806, 4.108 Å; angles 90.00, 90.00, 90.00 degrees
Each line ends with the local moment (μB).
Atoms (fractional coordinates):
Fe  0.000  0.500  0.000  2.15
Fe  0.500  0.000  0.000  2.15
N  0.000  0.000  0.000  -0.02
Ir  0.000  0.000  0.500  0.12
Zn  0.500  0.500  0.500  -0.06

Results
Mass density   10.70 g cm⁻³
D(E_F)   3.86 states/eV per cell
Size of the total moment   4.29 μB/f.u.
Calculated total energy   -35.25 eV per formula unit